Entry 1:
Below is a relaxed structure of PuMnBiO6, with properties calculated at the PBE with a Hubbard U level.

a = 5.462 Å, b = 5.462 Å, c = 9.996 Å
α = 90.00°, β = 90.00°, γ = 120.00°
Sites, in units of the cell vectors:
Pu1 0.333 0.667 0.250
Pu2 0.667 0.333 0.750
Mn1 0.333 0.667 0.750
Mn2 0.667 0.333 0.250
Bi1 0.000 0.000 0.000
Bi2 0.000 0.000 0.500
O1 0.012 0.360 0.138
O2 0.012 0.652 0.362
O3 0.348 0.360 0.362
O4 0.348 0.988 0.138
O5 0.360 0.012 0.638
O6 0.360 0.348 0.862
O7 0.640 0.652 0.138
O8 0.640 0.988 0.362
O9 0.652 0.012 0.862
O10 0.652 0.640 0.638
O11 0.988 0.348 0.638
O12 0.988 0.640 0.862

Calculated values
SG = P-31c (163)
E = -8.04 eV/atom

Entry 2:
Below is a relaxed structure of PuMn2BiO8, with properties calculated at the PBE with a Hubbard U level.

a = 5.993 Å, b = 5.993 Å, c = 5.993 Å
α = 109.20°, β = 109.20°, γ = 110.01°
Sites, in units of the cell vectors:
Pu1 0.000 0.000 0.000
Mn1 0.250 0.750 0.500
Mn2 0.500 0.500 0.000
Bi1 0.750 0.250 0.500
O1 0.047 0.341 0.293
O2 0.047 0.754 0.707
O3 0.134 0.308 0.826
O4 0.246 0.953 0.293
O5 0.482 0.308 0.174
O6 0.659 0.953 0.707
O7 0.692 0.518 0.826
O8 0.692 0.866 0.174

Calculated values
SG = I-4m2 (119)
E = -7.65 eV/atom

no.,DOS at the Fermi energy (states/eV per cell)
1,3.52
2,2.50